Compound: MnFe2Os
Source: the Alexandria database
Functional: GGA-PBE
Structure: optimized geometry

Cell: 4.1541 2.5626 4.7528 Å, 80.69 90.00 90.00°
Positions (direct):
Fe 0.0000 0.0145 0.0045
Fe 0.0000 0.4855 0.4955
Mn 0.5000 0.2500 0.2500
Os 0.5000 0.7500 0.7500

- energy of formation from the pure elements (eV/atom) = 0.151
- ρ (g/cm3) = 11.869